CrCoBi2: optimized geometry, PBE-GGA.

The space group is I-42d (No. 122) and the conventional cell measures 7.5757, 7.5757 and 6.3620 Å, with angles of 90.00, 90.00 and 90.00 degrees. The inequivalent atoms are Cr at (0.0000, 0.0000, 0.0000), Co at (0.0000, 0.0000, 0.5000) and Bi at (0.2103, 0.2500, 0.6250).

The volume is 22.820 Å³/atom. Its raw total energy is -87.4 eV/cell. As for the total magnetization: 4.48 μB/f.u. For the density, the calculation gives 9.62 g/cm³.